MgTaAl3, relaxed, DFT GGA-PBE; total magnetization = 0.0000 μB per atom; mass density = 3.737 Mg/m³; relative energy among the computed polymorphs = 0 meV per atom; formation energy from the elements = 73.8 kJ/mol of atoms
1.0
5.0286 0.0000 0.0000
0.0000 5.0286 0.0000
0.0000 0.0000 5.0286
Mg Ta Al
1 1 3
direct
0.0000 0.0000 0.0000 Mg
0.5000 0.5000 0.5000 Ta
0.0000 0.5000 0.5000 Al
0.5000 0.0000 0.5000 Al
0.5000 0.5000 0.0000 Al

=====

Na4Y3MnS8, relaxed, DFT GGA-PBE; total magnetization = 0.2500 μB per atom; E_form (uncorrected) = -1551 meV per atom; mass density = 3.160 Mg/m³
1.0
3.9013 2.2524 6.6788
-3.9013 2.2524 6.6788
0.0000 -4.5048 6.6788
Na Y Mn S
4 3 1 8
direct
0.0000 0.0000 0.0000 Na
0.0000 0.5000 0.5000 Na
0.5000 0.0000 0.5000 Na
0.5000 0.5000 0.0000 Na
0.0000 0.0000 0.5000 Y
0.0000 0.5000 0.0000 Y
0.5000 0.0000 0.0000 Y
0.5000 0.5000 0.5000 Mn
0.2433 0.2433 0.2433 S
0.2594 0.7297 0.7297 S
0.2703 0.2703 0.7406 S
0.2703 0.7406 0.2703 S
0.7297 0.2594 0.7297 S
0.7297 0.7297 0.2594 S
0.7406 0.2703 0.2703 S
0.7567 0.7567 0.7567 S

=====

CdAgRu2, relaxed, DFT GGA-PBE; total magnetization = 0.4636 μB per atom; mass density = 10.618 Mg/m³; formation energy from the elements = 50.5 kJ/mol of atoms
1.0
2.7691 0.0000 0.0000
0.0000 4.9078 0.0000
-0.1647 0.0000 4.8609
Cd Ag Ru
1 1 2
direct
0.0000 0.0000 0.0000 Cd
0.5000 0.0000 0.5000 Ag
0.2552 0.5000 0.7471 Ru
0.7448 0.5000 0.2529 Ru

=====

CrNiH, relaxed, DFT GGA-PBE; total magnetization = 0.0000 μB per atom; mass density = 7.180 Mg/m³; relative energy among the computed polymorphs = 217 meV per atom
1.0
-1.2286 1.2286 4.2784
1.2286 -1.2286 4.2784
1.2286 1.2286 -4.2784
Cr Ni H
1 1 1
direct
0.0000 0.0000 0.0000 Cr
0.2885 0.2885 0.0000 Ni
0.5862 0.5862 0.0000 H

=====

ScMoOs2, relaxed, DFT GGA-PBE; total magnetization = 0.0000 μB per atom; mass density = 13.830 Mg/m³; formation energy from the elements = 7.4 kJ/mol of atoms
1.0
0.0000 3.1515 3.1515
3.1515 0.0000 3.1515
3.1515 3.1515 0.0000
Sc Mo Os
1 1 2
direct
0.0000 0.0000 0.0000 Sc
0.7500 0.7500 0.7500 Mo
0.2500 0.2500 0.2500 Os
0.5000 0.5000 0.5000 Os

=====

Cs3Pr3BiS8, relaxed, DFT GGA-PBE; total magnetization = 0.0000 μB per atom; E_form (uncorrected) = -1462 meV per atom; mass density = 4.212 Mg/m³
1.0
4.2114 2.4315 8.2582
-4.2114 2.4315 8.2582
0.0000 -4.8629 8.2582
Cs Pr Bi S
3 3 1 8
direct
0.0000 0.5000 0.5000 Cs
0.5000 0.0000 0.5000 Cs
0.5000 0.5000 0.0000 Cs
0.0000 0.0000 0.5000 Pr
0.0000 0.5000 0.0000 Pr
0.5000 0.0000 0.0000 Pr
0.5000 0.5000 0.5000 Bi
0.2285 0.2285 0.2285 S
0.2395 0.7215 0.7215 S
0.2785 0.2785 0.7605 S
0.2785 0.7605 0.2785 S
0.7215 0.2395 0.7215 S
0.7215 0.7215 0.2395 S
0.7605 0.2785 0.2785 S
0.7715 0.7715 0.7715 S

=====

CsCa2Cl, relaxed, DFT GGA-PBE; total magnetization = 0.0000 μB per atom; E_form (uncorrected) = -55 meV per atom; mass density = 2.114 Mg/m³; relative energy among the computed polymorphs = 446 meV per atom
1.0
0.0000 4.6041 4.6041
4.6041 0.0000 4.6041
4.6041 4.6041 0.0000
Cs Ca Cl
1 2 1
direct
0.0000 0.0000 0.0000 Cs
0.2500 0.2500 0.2500 Ca
0.7500 0.7500 0.7500 Ca
0.5000 0.5000 0.5000 Cl

=====

Na4Zn2F9, relaxed, DFT GGA-PBE; total magnetization = 0.0785 μB per atom; E_form (uncorrected) = -2405 meV per atom; mass density = 3.232 Mg/m³
1.0
4.8510 -2.7997 0.0000
4.8510 2.7997 0.0000
-0.0107 0.0000 14.8949
Na Zn F
8 4 18
direct
0.1661 0.1669 0.0208 Na
0.1662 0.1668 0.3103 Na
0.1669 0.1661 0.5208 Na
0.1668 0.1662 0.8103 Na
0.8332 0.8338 0.1897 Na
0.8331 0.8339 0.4792 Na
0.8338 0.8332 0.6897 Na
0.8339 0.8331 0.9792 Na
0.4994 0.4999 0.3506 Zn
0.4999 0.4994 0.8506 Zn
0.5001 0.5006 0.1494 Zn
0.5006 0.5001 0.6494 Zn
0.1713 0.7950 0.0895 F
0.1724 0.5335 0.5894 F
0.2050 0.4659 0.9106 F
0.2050 0.8287 0.4105 F
0.2320 0.5012 0.2505 F
0.2333 0.7667 0.7500 F
0.4659 0.2050 0.4106 F
0.4665 0.8276 0.9106 F
0.4988 0.7680 0.2495 F
0.5012 0.2320 0.7505 F
0.5335 0.1724 0.0894 F
0.5341 0.7950 0.5894 F
0.7667 0.2333 0.2500 F
0.7680 0.4988 0.7495 F
0.7950 0.1713 0.5895 F
0.7950 0.5341 0.0894 F
0.8276 0.4665 0.4106 F
0.8287 0.2050 0.9105 F

=====

| no. | calculated total energy (eV per formula unit) |
| --- | --- |
| 1 | -20.9 |
| 2 | -91.7 |
| 3 | -20.2 |
| 4 | -18.1 |
| 5 | -39.3 |
| 6 | -75.7 |
| 7 | -6.9 |
| 8 | -60.7 |